PBE-GGA Er2AlAu, optimized geometry; formation energy from the elements = -243 kJ/mol of formula units; distance to the lowest polymorph of the same formula = 0.00 kcal/mol of atoms; total energy = -18.667 eV for the cell shown
1.0
3.5279 0.0000 0.0000
0.0000 3.5279 0.0000
0.0000 0.0000 7.3815
Er Al Au
2 1 1
Cartesian
0.0000 0.0000 1.7920
0.0000 0.0000 5.5895
1.7639 1.7639 3.6908
1.7639 1.7639 0.0000

***

PBE-GGA CaThTlBi, optimized geometry; formation energy from the elements = -120 kJ/mol of formula units; total energy = -67.656 eV for the cell shown
1.0
7.8704 0.0000 0.0000
0.0000 7.8704 0.0000
0.0000 0.0000 7.8704
Ca Th Tl Bi
4 4 4 4
Cartesian
0.0000 0.0000 0.0000
0.0000 3.9352 3.9352
3.9352 0.0000 3.9352
3.9352 3.9352 0.0000
0.0000 0.0000 3.9352
0.0000 3.9352 0.0000
3.9352 0.0000 0.0000
3.9352 3.9352 3.9352
1.9676 1.9676 5.9028
1.9676 5.9028 1.9676
5.9028 1.9676 1.9676
5.9028 5.9028 5.9028
1.9676 1.9676 1.9676
1.9676 5.9028 5.9028
5.9028 1.9676 5.9028
5.9028 5.9028 1.9676

***

PBE-GGA NbAl5Pd4, optimized geometry; formation energy from the elements = -727 kJ/mol of formula units; total energy = -57.094 eV for the cell shown
1.0
3.0468 0.0000 0.0000
0.0000 3.0468 0.0000
0.0000 0.0000 16.1699
Nb Al Pd
1 5 4
Cartesian
0.0000 0.0000 0.0000
1.5234 1.5234 1.9115
1.5234 1.5234 4.9900
1.5234 1.5234 8.0849
1.5234 1.5234 11.1799
1.5234 1.5234 14.2584
0.0000 0.0000 3.4187
0.0000 0.0000 6.5282
0.0000 0.0000 9.6417
0.0000 0.0000 12.7511

***

PBE-GGA KPdPb3, optimized geometry; formation energy from the elements = 606 kJ/mol of formula units; distance to the lowest polymorph of the same formula = 33.11 kcal/mol of atoms; total energy = -11.140 eV for the cell shown
1.0
5.8345 0.0000 0.0000
0.0000 5.8345 0.0000
0.0000 0.0000 5.8345
K Pd Pb
1 1 3
Cartesian
0.0000 0.0000 0.0000
2.9173 2.9173 2.9173
0.0000 0.0000 2.9173
0.0000 2.9173 0.0000
2.9173 0.0000 0.0000

***

PBE-GGA Ba6NaIn3, optimized geometry; formation energy from the elements = -238 kJ/mol of formula units; distance to the lowest polymorph of the same formula = 0.00 kcal/mol of atoms; total energy = -47.080 eV for the cell shown
1.0
11.6447 0.0000 0.0000
0.0000 6.0024 0.0000
-3.2513 0.0000 12.8846
Ba Na In
12 2 6
Cartesian
-0.7496 1.5006 5.3408
0.9560 4.5018 2.5228
-0.8247 1.5006 12.7366
0.8845 4.5018 10.0729
3.3664 1.5006 4.2270
2.5368 1.5006 7.8956
5.8567 4.5018 4.9890
5.0270 4.5018 8.6576
7.5089 1.5006 2.8117
9.2181 4.5018 0.1481
7.4374 1.5006 10.3618
9.1430 4.5018 7.5438
5.0643 4.5018 1.1706
3.3291 1.5006 11.7140
-2.4637 4.5018 11.2344
-0.8561 1.5006 9.1944
1.9514 4.5018 6.1141
6.4420 1.5006 6.7705
9.2495 4.5018 3.6902
10.8571 1.5006 1.6502